Below is an optimized crystal structure of SrSiTc2Sn, with properties calculated at the GGA-PBE level.

The value obtained for the energy relative to the elements, uncorrected is 1270 meV/atom. The value obtained for the total magnetic moment is 3.738 Bohr magnetons per cell.

It has space group P4/mmm (No. 123), with a = 5.062 Å, b = 5.062 Å, c = 5.193 Å, α = 90.00°, β = 90.00° and γ = 90.00°. The distinct sites, in fractional coordinates, are Sr at (0.000, 0.000, 0.000), Si at (0.500, 0.500, 0.000), Tc at (0.000, 0.500, 0.500) and Sn at (0.500, 0.500, 0.500).

***

Below is an optimized crystal structure of Sr2YSiSn, with properties calculated at the GGA-PBE level.

The value obtained for the energy relative to the elements, uncorrected is 478 meV/atom. The value obtained for the total magnetic moment is 1.364 Bohr magnetons per cell.

It has space group P4/mmm (No. 123), with a = 6.251 Å, b = 6.251 Å, c = 5.234 Å, α = 90.00°, β = 90.00° and γ = 90.00°. The distinct sites, in fractional coordinates, are Sr at (0.000, 0.500, 0.000), Y at (0.000, 0.000, 0.500), Si at (0.500, 0.500, 0.500) and Sn at (0.500, 0.500, 0.000).

***

Below is an optimized crystal structure of TaSi3Sn, with properties calculated at the GGA-PBE level.

The value obtained for the energy relative to the elements, uncorrected is 630 meV/atom. The value obtained for the total magnetic moment is 0.000 Bohr magnetons per cell. The calculation puts the energy above the lowest structure with this stoichiometry at 0.0 kJ per mole of atoms.

It has space group Pm-3m (No. 221), with a = 4.918 Å, b = 4.918 Å, c = 4.918 Å, α = 90.00°, β = 90.00° and γ = 90.00°. The distinct sites, in fractional coordinates, are Ta at (0.000, 0.000, 0.000), Si at (0.000, 0.000, 0.500) and Sn at (0.500, 0.500, 0.500).

***

Below is an optimized crystal structure of Ta2Si2Sn, with properties calculated at the GGA-PBE level.

The value obtained for the energy relative to the elements, uncorrected is -151 meV/atom. The value obtained for the total magnetic moment is 0.000 Bohr magnetons per cell.

It has space group I4/mmm (No. 139), with a = 3.533 Å, b = 3.533 Å, c = 14.123 Å, α = 90.00°, β = 90.00° and γ = 90.00°. The distinct sites, in fractional coordinates, are Ta at (0.000, 0.000, 0.110), Si at (0.000, 0.500, 0.250) and Sn at (0.000, 0.000, 0.500).

***

Below is an optimized crystal structure of TaSi3Sn, with properties calculated at the GGA-PBE level.

The value obtained for the energy relative to the elements, uncorrected is 1901 meV/atom. The value obtained for the total magnetic moment is 0.000 Bohr magnetons per cell. The calculation puts the energy above the lowest structure with this stoichiometry at 122.7 kJ per mole of atoms.

It has space group Pm-3m (No. 221), with a = 4.926 Å, b = 4.926 Å, c = 4.926 Å, α = 90.00°, β = 90.00° and γ = 90.00°. The distinct sites, in fractional coordinates, are Ta at (0.000, 0.000, 0.000), Si at (0.000, 0.500, 0.500) and Sn at (0.500, 0.500, 0.500).

***

Below is an optimized crystal structure of Tb6Si2Sn, with properties calculated at the GGA-PBE level.

The value obtained for the energy relative to the elements, uncorrected is -600 meV/atom. The value obtained for the total magnetic moment is 0.000 Bohr magnetons per cell.

It has space group Immm (No. 71), with a = 9.517 Å, b = 9.719 Å, c = 10.332 Å, α = 90.00°, β = 90.00° and γ = 90.00°. The distinct sites, in fractional coordinates, are Tb at (0.000, 0.206, 0.240), Tb at (0.204, 0.500, 0.180), Tb at (0.222, 0.314, 0.500), Si at (0.000, 0.373, 0.000), Si at (0.000, 0.500, 0.385), Sn at (0.000, 0.000, 0.000) and Sn at (0.000, 0.000, 0.500).

***

Below is an optimized crystal structure of Tb6SiSn2, with properties calculated at the GGA-PBE level.

The value obtained for the energy relative to the elements, uncorrected is -578 meV/atom. The value obtained for the total magnetic moment is 4.795 Bohr magnetons per cell.

It has space group P-62m (No. 189), with a = 8.2795 Å, b = 8.2795 Å, c = 4.2516 Å, α = 90.00°, β = 90.00° and γ = 120.00°. The distinct sites, in fractional coordinates, are Tb at (0.0000, 0.2473, 0.0000), Tb at (0.0000, 0.6002, 0.5000), Si at (0.0000, 0.0000, 0.5000) and Sn at (0.3333, 0.6667, 0.0000).

***

Below is an optimized crystal structure of Tb8SiSn2, with properties calculated at the GGA-PBE level.

The value obtained for the energy relative to the elements, uncorrected is -397 meV/atom. The value obtained for the total magnetic moment is 0.001 Bohr magnetons per cell.

It has space group C2/m (No. 12), with a = 19.417 Å, b = 5.025 Å, c = 6.697 Å, α = 90.00°, β = 104.55° and γ = 90.00°. The distinct sites, in fractional coordinates, are Tb at (0.020, 0.000, 0.279), Tb at (0.089, 0.500, 0.963), Tb at (0.151, 0.500, 0.501), Tb at (0.219, 0.000, 0.820), Si at (0.000, 0.500, 0.500) and Sn at (0.180, 0.000, 0.256).

***

Below is an optimized crystal structure of Tb5Si2Sn, with properties calculated at the GGA-PBE level.

The value obtained for the energy relative to the elements, uncorrected is -683 meV/atom. The value obtained for the total magnetic moment is 3.475 Bohr magnetons per cell.

It has space group I4/mcm (No. 140), with a = 7.767 Å, b = 7.767 Å, c = 13.805 Å, α = 90.00°, β = 90.00° and γ = 90.00°. The distinct sites, in fractional coordinates, are Tb at (0.000, 0.000, 0.000), Tb at (0.164, 0.336, 0.140), Si at (0.133, 0.367, 0.500) and Sn at (0.000, 0.000, 0.250).

***

Below is an optimized crystal structure of Tb3Si2Sn2, with properties calculated at the GGA-PBE level.

The value obtained for the energy relative to the elements, uncorrected is -657 meV/atom. The value obtained for the total magnetic moment is 0.000 Bohr magnetons per cell.

It has space group C2/m (No. 12), with a = 11.127 Å, b = 4.304 Å, c = 7.806 Å, α = 90.00°, β = 115.00° and γ = 90.00°. The distinct sites, in fractional coordinates, are Tb at (0.000, 0.000, 0.000), Tb at (0.181, 0.000, 0.654), Si at (0.206, 0.500, 0.932) and Sn at (0.042, 0.500, 0.333).

***

Below is an optimized crystal structure of Tb4SiSn, with properties calculated at the GGA-PBE level.

The value obtained for the energy relative to the elements, uncorrected is -361 meV/atom. The value obtained for the total magnetic moment is 0.000 Bohr magnetons per cell.

It has space group C2/c (No. 15), with a = 15.997 Å, b = 5.778 Å, c = 7.779 Å, α = 90.00°, β = 106.19° and γ = 90.00°. The distinct sites, in fractional coordinates, are Tb at (0.075, 0.134, 0.448), Tb at (0.170, 0.375, 0.135), Si at (0.250, 0.250, 0.500) and Sn at (0.000, 0.366, 0.750).

***

Below is an optimized crystal structure of Tb7Si2Sn2, with properties calculated at the GGA-PBE level.

The value obtained for the energy relative to the elements, uncorrected is -390 meV/atom. The value obtained for the total magnetic moment is 0.000 Bohr magnetons per cell.

It has space group Cmmm (No. 65), with a = 8.427 Å, b = 10.943 Å, c = 6.949 Å, α = 90.00°, β = 90.00° and γ = 90.00°. The distinct sites, in fractional coordinates, are Tb at (0.000, 0.000, 0.000), Tb at (0.000, 0.500, 0.245), Tb at (0.250, 0.250, 0.265), Si at (0.000, 0.276, 0.000) and Sn at (0.180, 0.000, 0.500).